DFT (PBE-GGA) results for a relaxed TaTiZnC crystal.

The structure in CIF format:
```
data_TaTiZnC
_cell_length_a 3.0949
_cell_length_b 3.0949
_cell_length_c 20.6366
_cell_angle_alpha 90.00
_cell_angle_beta 90.00
_cell_angle_gamma 120.00
_symmetry_space_group_name_H-M 'R 3 m'
_symmetry_Int_Tables_number 160
_symmetry_space_group_name_Hall 'R 3 -2"'
loop_
_atom_site_label
_atom_site_fract_x
_atom_site_fract_y
_atom_site_fract_z
Ta1 0.0000 0.0000 0.0000
Ti1 0.0000 0.0000 0.7813
Zn1 0.0000 0.0000 0.5568
C1 0.0000 0.0000 0.3926
```

- Energy of formation: -0.4565 eV per atom
- DOS at the Fermi energy: 3.27 states/eV/f.u.
- ρ: 8.9 g/cm³

---

DFT (PBE-GGA) results for a relaxed CdPdSe2 crystal.

The structure in CIF format:
```
data_CdPdSe2
_cell_length_a 6.810
_cell_length_b 6.810
_cell_length_c 6.810
_cell_angle_alpha 90.00
_cell_angle_beta 90.00
_cell_angle_gamma 90.00
_symmetry_space_group_name_H-M 'F m -3 m'
_symmetry_Int_Tables_number 225
_symmetry_space_group_name_Hall '-F 4 2 3'
loop_
_atom_site_label
_atom_site_fract_x
_atom_site_fract_y
_atom_site_fract_z
Cd1 0.000 0.000 0.000
Pd1 0.000 0.000 0.500
Se1 0.250 0.250 0.250
```

- Polymorph energy (0 for the lowest one): 36.06 kJ/mol of atoms
- DOS at the Fermi energy: 6.57 states/eV/f.u.
- E_form (uncorrected): 0.100 eV/atom
- ρ: 7.9 g/cm³

---

DFT (PBE-GGA) results for a relaxed GdEr2Sn crystal.

The structure in CIF format:
```
data_GdEr2Sn
_cell_length_a 4.816
_cell_length_b 4.816
_cell_length_c 4.751
_cell_angle_alpha 90.00
_cell_angle_beta 90.00
_cell_angle_gamma 90.00
_symmetry_space_group_name_H-M 'P 4/m m m'
_symmetry_Int_Tables_number 123
_symmetry_space_group_name_Hall '-P 4 2'
loop_
_atom_site_label
_atom_site_fract_x
_atom_site_fract_y
_atom_site_fract_z
Gd1 0.000 0.000 0.000
Er1 0.000 0.500 0.500
Sn1 0.500 0.500 0.000
```

- Energy of formation: -0.4223 eV per atom
- Polymorph energy (0 for the lowest one): 0.00 kJ/mol of atoms
- DOS at the Fermi energy: 4.56 states/eV/f.u.
- ρ: 9.2 g/cm³

---

DFT (PBE-GGA) results for a relaxed Ho2ErIr crystal.

The structure in CIF format:
```
data_Ho2ErIr
_cell_length_a 3.883
_cell_length_b 11.967
_cell_length_c 9.040
_cell_angle_alpha 90.00
_cell_angle_beta 90.00
_cell_angle_gamma 90.00
_symmetry_space_group_name_H-M 'C m c m'
_symmetry_Int_Tables_number 63
_symmetry_space_group_name_Hall '-C 2c 2'
loop_
_atom_site_label
_atom_site_fract_x
_atom_site_fract_y
_atom_site_fract_z
Ho1 0.000 0.142 0.066
Er1 0.000 0.426 0.250
Ir1 0.000 0.246 0.750
```

- Energy of formation: -0.5653 eV per atom
- Polymorph energy (0 for the lowest one): 3.60 kJ/mol of atoms
- DOS at the Fermi energy: 4.06 states/eV/f.u.
- ρ: 10.9 g/cm³